Record 1
SiRu2Pt | Alexandria | GGA-PBE | relaxed; ΔE_f (raw) = -0.097 eV per atom
1.0
3.881 0.000 0.000
0.000 3.881 0.000
0.000 0.000 3.722
Si Ru Pt
1 2 1
Direct
0.000 0.000 0.000
0.000 0.500 0.500
0.500 0.000 0.500
0.500 0.500 0.000


Record 2
SiRu2Pt | Alexandria | GGA-PBE | relaxed; ΔE_f (raw) = -0.176 eV per atom
1.0
1.389 0.802 8.387
-1.389 0.802 8.387
0.000 -1.603 8.387
Si Ru Pt
1 2 1
Direct
0.000 0.000 0.000
0.258 0.258 0.258
0.742 0.742 0.742
0.500 0.500 0.500


Record 3
SiRu2Pt | Alexandria | GGA-PBE | relaxed; ΔE_f (raw) = -0.225 eV per atom
1.0
4.575 -1.398 0.000
4.575 1.398 0.000
-1.584 0.000 4.397
Si Ru Pt
1 2 1
Direct
0.000 0.000 0.000
0.471 0.471 0.537
0.709 0.709 0.352
0.260 0.260 0.879


Record 4
SiRu2Pt | Alexandria | GGA-PBE | relaxed; ΔE_f (raw) = -0.223 eV per atom
1.0
2.829 0.000 0.000
0.000 3.893 0.000
-1.154 0.000 5.124
Si Ru Pt
1 2 1
Direct
0.000 0.000 0.000
0.370 0.500 0.233
0.630 0.500 0.767
0.000 0.000 0.500


Record 5
Si3RuPt | Alexandria | GGA-PBE | relaxed; excess energy over the best structure of this formula in the dataset = 0.0 meV per atom; ΔE_f (raw) = 0.414 eV per atom
1.0
4.545 0.000 0.000
0.000 4.545 0.000
0.000 0.000 4.545
Si Ru Pt
3 1 1
Direct
0.000 0.000 0.500
0.000 0.500 0.000
0.500 0.000 0.000
0.000 0.000 0.000
0.500 0.500 0.500


Record 6
SiRu2Pt | Alexandria | GGA-PBE | relaxed; ΔE_f (raw) = -0.126 eV per atom
1.0
4.537 0.000 0.000
0.000 2.761 0.000
-1.508 0.000 4.477
Si Ru Pt
1 2 1
Direct
0.000 0.000 0.000
0.500 0.000 0.500
0.500 0.500 0.000
0.000 0.500 0.500


Record 7
SiRu2Pt | Alexandria | GGA-PBE | relaxed; ΔE_f (raw) = -0.216 eV per atom
1.0
-1.488 2.160 4.354
1.488 -2.160 4.354
1.488 2.160 -4.354
Si Ru Pt
1 2 1
Direct
0.000 0.000 0.000
0.503 0.503 0.000
0.782 0.282 0.500
0.219 0.719 0.500


Record 8
Tb2Si4RuPt3 | Alexandria | GGA-PBE | relaxed; ΔE_f (raw) = -1.090 eV per atom
1.0
4.148 0.000 0.000
0.000 4.148 0.000
0.000 0.000 9.971
Tb Si Ru Pt
2 4 1 3
Direct
0.000 0.500 0.247
0.500 0.000 0.753
0.000 0.000 0.000
0.000 0.500 0.630
0.500 0.000 0.370
0.500 0.500 0.000
0.000 0.000 0.500
0.000 0.500 0.872
0.500 0.000 0.128
0.500 0.500 0.500


Mass density per entry: 12.60 12.61 12.55 12.52 6.73 12.59 12.61 10.81 g/cm³